Cr2InAsO6 | GGA+U | relaxed

Results
**Symmetry**: R3
**DFT total energy**: -0.4965 Ry/atom

a = 5.5734 Å, b = 5.5734 Å, c = 5.5734 Å
α = 57.45°, β = 57.45°, γ = 57.45°
With the nearest neighbours (Å) after each atom.
Sites, in units of the cell vectors:
Cr1 0.0000 0.0000 0.0000  6 O 2.03-2.06
Cr2 0.4922 0.4922 0.4922  6 O 1.98-2.11
In1 0.2096 0.2096 0.2096  6 O 2.18-2.28
As1 0.6980 0.6980 0.6980  6 O 2.10-2.24
O1 0.1356 0.3612 0.7765  2 Cr 1.98-2.03
O2 0.2930 0.8651 0.6290  2 Cr 2.06-2.11, 1 As 2.10, 1 In 2.18
O3 0.3612 0.7765 0.1356  2 Cr 1.98-2.03
O4 0.6290 0.2930 0.8651  2 Cr 2.06-2.11, 1 As 2.10, 1 In 2.18
O5 0.7765 0.1356 0.3612  2 Cr 1.98-2.03
O6 0.8651 0.6290 0.2930  2 Cr 2.06-2.11, 1 As 2.10, 1 In 2.18